8
Lattice="5.3010 0.0000 0.0000 0.0000 5.3010 0.0000 2.6505 2.6505 4.9398" Properties=species:S:1:pos:R:3 comment="MnBiO2, optimized geometry, DFT GGA+U" m_tot_mub_per_cell=8.935 spacegroup=I-42d dos_ef_per_ev_fu=2.2 total_energy_ev_per_atom=-6.334 pbc="T T T"
O 1.6213 3.9757 1.2350
O 3.6797 1.3252 1.2350
Bi 0.0000 0.0000 0.0000
Mn 2.6505 2.6505 0.0000
O 6.6262 6.3302 3.7049
Mn 2.6505 5.3010 2.4699
Bi 5.3010 2.6505 2.4699
O 3.9757 4.2718 3.7049